Material: KNb2As2
Method: DFT, PBE
State: relaxed

The structure in extended XYZ format:
```
10
Lattice="4.964 0.000 0.000 0.000 4.964 0.000 0.000 0.000 9.255" Properties=species:S:1:pos:R:3 pbc="T T T"
K 0.000 0.000 0.000
K 2.482 2.482 4.628
Nb 0.000 0.000 3.346
Nb 0.000 0.000 5.909
Nb 2.482 2.482 1.282
Nb 2.482 2.482 7.974
As 0.000 2.482 2.314
As 0.000 2.482 6.942
As 2.482 0.000 2.314
As 2.482 0.000 6.942
```

## Properties
Theoretical density (g/cm3): 5.46
Energy of formation from the pure elements (eV/f.u.): -0.001

---

Material: Be6PdAu5
Method: DFT, PBE
State: relaxed

The structure in extended XYZ format:
```
12
Lattice="4.127 0.000 0.000 0.000 6.003 0.000 -1.979 0.000 6.202" Properties=species:S:1:pos:R:3 pbc="T T T"
Be 0.000 1.448 0.000
Be 0.000 4.555 0.000
Be 0.064 1.458 4.188
Be 0.064 4.545 4.188
Be 2.084 1.458 2.014
Be 2.084 4.545 2.014
Pd 2.063 0.000 0.000
Au 0.021 0.000 2.039
Au 0.028 3.001 2.090
Au 2.063 3.001 0.000
Au 2.119 3.001 4.112
Au 2.126 0.000 4.163
```

## Properties
Theoretical density (g/cm3): 12.38
Energy of formation from the pure elements (eV/f.u.): -2.357

---

Material: RbZrSc
Method: DFT, PBE
State: relaxed

The structure in extended XYZ format:
```
12
Lattice="5.412 0.000 0.000 0.000 5.412 0.000 -0.065 0.000 15.460" Properties=species:S:1:pos:R:3 pbc="T T T"
Rb 1.319 0.000 2.169
Rb 1.322 2.706 13.291
Rb 4.025 2.706 2.169
Rb 4.028 0.000 13.291
Zr 1.320 0.000 7.056
Zr 1.321 2.706 8.404
Zr 4.026 2.706 7.056
Zr 4.027 0.000 8.404
Sc 1.320 2.706 5.391
Sc 1.321 0.000 10.069
Sc 4.026 0.000 5.391
Sc 4.027 2.706 10.069
```

## Properties
Theoretical density (g/cm3): 3.25
Energy of formation from the pure elements (eV/f.u.): 0.824

---

Material: YTi2RhW
Method: DFT, PBE
State: relaxed

The structure in extended XYZ format:
```
5
Lattice="4.679 0.000 0.000 0.000 4.679 0.000 0.000 0.000 4.680" Properties=species:S:1:pos:R:3 pbc="T T T"
Y 0.000 0.000 0.000
Ti 0.000 2.340 0.000
Ti 2.340 0.000 0.000
Rh 0.000 0.000 2.340
W 2.340 2.340 2.340
```

## Properties
Theoretical density (g/cm3): 7.64
Energy of formation from the pure elements (eV/f.u.): 9.211

---

Material: Tm3Si2Ir6
Method: DFT, PBE
State: relaxed

The structure in extended XYZ format:
```
22
Lattice="-4.586 4.586 4.586 4.586 -4.586 4.586 4.586 4.586 -4.586" Properties=species:S:1:pos:R:3 pbc="T T T"
Tm 2.553 0.000 0.000
Tm 6.619 0.000 0.000
Tm 0.000 2.553 0.000
Tm 0.000 0.000 2.553
Tm 0.000 6.619 0.000
Tm 0.000 0.000 6.619
Si 2.293 2.293 -2.293
Si 2.293 -2.293 2.293
Si -2.293 2.293 2.293
Si 2.293 2.293 2.293
Ir 4.586 1.420 -1.420
Ir 4.586 -1.420 1.420
Ir 4.586 1.420 1.420
Ir 1.420 4.586 -1.420
Ir 3.167 3.167 0.000
Ir 1.420 -1.420 4.586
Ir 3.167 0.000 3.167
Ir -1.420 4.586 1.420
Ir 1.420 4.586 1.420
Ir -1.420 1.420 4.586
Ir 1.420 1.420 4.586
Ir 0.000 3.167 3.167
```

## Properties
Theoretical density (g/cm3): 14.77
Formation energy without anion corrections (eV per atom): -0.756

---

Material: Mg4PaNi2
Method: DFT, PBE
State: relaxed

The structure in extended XYZ format:
```
14
Lattice="4.192 0.000 0.000 0.000 17.287 0.000 0.000 0.000 3.666" Properties=species:S:1:pos:R:3 pbc="T T T"
Mg 0.000 2.870 0.000
Mg 0.000 5.532 1.833
Mg 0.000 11.755 1.833
Mg 0.000 14.417 0.000
Mg 2.096 3.111 1.833
Mg 2.096 5.773 0.000
Mg 2.096 11.514 0.000
Mg 2.096 14.176 1.833
Pa 0.000 0.000 1.833
Pa 2.096 8.643 1.833
Ni 0.000 7.470 0.000
Ni 0.000 9.817 0.000
Ni 2.096 1.173 0.000
Ni 2.096 16.114 0.000
```

## Properties
Theoretical density (g/cm3): 5.57
Energy of formation from the pure elements (eV/f.u.): -0.259

---

Material: Ba2LaTlN
Method: DFT, PBE
State: relaxed

The structure in extended XYZ format:
```
5
Lattice="5.895 0.000 0.000 0.000 5.895 0.000 0.000 0.000 4.826" Properties=species:S:1:pos:R:3 pbc="T T T"
Ba 0.000 2.948 0.000
Ba 2.948 0.000 0.000
La 0.000 0.000 2.413
Tl 2.948 2.948 2.413
N 0.000 0.000 0.000
```

## Properties
Theoretical density (g/cm3): 6.26
Formation energy without anion corrections (eV per atom): -0.534

---

Material: LiTe2Pt
Method: DFT, PBE
State: relaxed

The structure in extended XYZ format:
```
12
Lattice="3.416 0.000 0.000 -1.708 2.959 0.000 0.000 0.000 27.336" Properties=species:S:1:pos:R:3 pbc="T T T"
Li 0.000 0.000 0.000
Li 0.000 1.972 18.224
Li 1.708 0.986 9.112
Te 0.000 0.000 11.126
Te 0.000 0.000 16.210
Te 0.000 1.972 2.014
Te 0.000 1.972 7.098
Te 1.708 0.986 20.238
Te 1.708 0.986 25.322
Pt 0.000 0.000 13.668
Pt 0.000 1.972 4.556
Pt 1.708 0.986 22.780
```

## Properties
Theoretical density (g/cm3): 8.24
Formation energy without anion corrections (eV per atom): -0.050

---

Material: NdSiPRh
Method: DFT, PBE
State: relaxed

The structure in extended XYZ format:
```
8
Lattice="4.102 0.000 0.000 0.000 4.102 0.000 0.000 0.000 9.231" Properties=species:S:1:pos:R:3 pbc="T T T"
Nd 1.025 1.025 1.825
Nd 3.076 3.076 7.407
Si 1.025 1.025 5.829
Si 3.076 3.076 3.402
P 1.025 1.025 8.063
P 3.076 3.076 1.168
Rh 1.025 3.076 4.616
Rh 3.076 1.025 4.616
```

## Properties
Theoretical density (g/cm3): 6.55
Formation energy without anion corrections (eV per atom): -1.136

---

Material: CdHRh2
Method: DFT, PBE
State: relaxed

The structure in extended XYZ format:
```
12
Lattice="2.888 0.000 0.000 -1.444 2.501 0.000 0.000 0.000 20.747" Properties=species:S:1:pos:R:3 pbc="T T T"
Cd 0.000 0.000 0.000
Cd 0.000 1.668 13.831
Cd 1.444 0.834 6.916
H 0.000 0.000 17.299
H 0.000 1.668 10.383
H 1.444 0.834 3.467
Rh 0.000 0.000 4.600
Rh 0.000 0.000 9.243
Rh 0.000 1.668 2.327
Rh 0.000 1.668 18.431
Rh 1.444 0.834 11.515
Rh 1.444 0.834 16.158
```

## Properties
Theoretical density (g/cm3): 10.61
Total energy (eV/atom): -4.743

---

Material: Cs2AcCd2Te4
Method: DFT, PBE
State: relaxed

The structure in extended XYZ format:
```
9
Lattice="8.734 -2.579 0.000 8.734 2.579 0.000 -2.864 0.000 8.459" Properties=species:S:1:pos:R:3 pbc="T T T"
Cs 2.126 0.000 0.577
Cs 12.479 0.000 7.882
Ac -1.432 0.000 4.230
Cd 4.300 0.000 4.175
Cd 10.305 0.000 4.284
Te 1.620 0.000 5.674
Te 6.399 0.000 6.249
Te 8.206 0.000 2.210
Te 12.985 0.000 2.786
```

## Properties
Theoretical density (g/cm3): 5.35
Formation energy without anion corrections (eV per atom): -0.947

---

Material: WSeBr2N
Method: DFT, PBE
State: relaxed

The structure in extended XYZ format:
```
5
Lattice="4.379 0.000 0.000 0.000 4.379 0.000 0.000 0.000 4.550" Properties=species:S:1:pos:R:3 pbc="T T T"
W 0.000 0.000 0.000
Se 2.189 2.189 0.000
Br 0.000 2.189 2.275
Br 2.189 0.000 2.275
N 2.189 2.189 2.275
```

## Properties
Theoretical density (g/cm3): 8.31
Formation energy without anion corrections (eV per atom): 1.844